# Sr2MgTl3In4

Sr2MgTl3In4 after structural relaxation (PBE, Alexandria via LeMat-Bulk).

abc: 4.8529 4.8529 12.9992
angles: 90.00 90.00 90.00
Positions (direct):
Sr (0.0000, 0.5000, 0.2465)
Sr (0.5000, 0.0000, 0.7535)
Mg (0.5000, 0.5000, 0.0000)
Tl (0.0000, 0.0000, 0.0000)
Tl (0.0000, 0.5000, 0.6431)
Tl (0.5000, 0.0000, 0.3569)
In (0.0000, 0.0000, 0.5000)
In (0.0000, 0.5000, 0.8646)
In (0.5000, 0.0000, 0.1354)
In (0.5000, 0.5000, 0.5000)

Properties
* total DFT energy (no corrections): -2.5034 eV/atom
* spin magnetization: 0.00 μB per formula unit
* formation enthalpy at 0 K: -4.664 kcal/mol of atoms



# Sr2Mg6TlIn

Sr2Mg6TlIn after structural relaxation (PBE, Alexandria via LeMat-Bulk).

abc: 6.1192 9.5106 10.5801
angles: 90.00 90.00 90.00
Positions (direct):
Sr (0.2500, 0.0018, 0.2398)
Sr (0.2500, 0.4982, 0.2398)
Sr (0.7500, 0.5018, 0.7602)
Sr (0.7500, 0.9982, 0.7602)
Mg (0.0006, 0.2500, 0.4978)
Mg (0.0009, 0.7500, 0.9978)
Mg (0.2500, 0.0002, 0.5806)
Mg (0.2500, 0.4998, 0.5806)
Mg (0.4994, 0.2500, 0.4978)
Mg (0.4991, 0.7500, 0.9978)
Mg (0.5009, 0.2500, 0.0022)
Mg (0.5006, 0.7500, 0.5022)
Mg (0.7500, 0.9998, 0.4194)
Mg (0.7500, 0.5002, 0.4194)
Mg (0.9991, 0.2500, 0.0022)
Mg (0.9994, 0.7500, 0.5022)
Tl (0.2500, 0.2500, 0.7615)
Tl (0.7500, 0.7500, 0.2385)
In (0.2500, 0.7500, 0.7571)
In (0.7500, 0.2500, 0.2429)

Properties
* total DFT energy (no corrections): -1.8588 eV/atom
* spin magnetization: 0.00 μB per formula unit
* formation enthalpy at 0 K: -1.273 kcal/mol of atoms



# SrMg2TlIn2

SrMg2TlIn2 after structural relaxation (PBE, Alexandria via LeMat-Bulk).

abc: 5.2401 5.2401 6.9391
angles: 90.00 90.00 120.00
Positions (direct):
Sr (0.0000, 0.0000, 0.0000)
Mg (0.3333, 0.6667, 0.6983)
Mg (0.6667, 0.3333, 0.3017)
Tl (0.0000, 0.0000, 0.5000)
In (0.3333, 0.6667, 0.2167)
In (0.6667, 0.3333, 0.7833)

Properties
* total DFT energy (no corrections): -2.3031 eV/atom
* spin magnetization: 0.00 μB per formula unit
* formation enthalpy at 0 K: -4.245 kcal/mol of atoms



# Sr2TmMg2In5

Sr2TmMg2In5 after structural relaxation (PBE, Alexandria via LeMat-Bulk).

abc: 11.0691 11.0691 4.5206
angles: 90.00 90.00 90.00
Positions (direct):
Sr (0.1765, 0.3235, 0.0000)
Sr (0.3235, 0.8235, 0.0000)
Sr (0.6765, 0.1765, 0.0000)
Sr (0.8235, 0.6765, 0.0000)
Tm (0.0000, 0.0000, 0.0000)
Tm (0.5000, 0.5000, 0.0000)
Mg (0.1202, 0.6202, 0.0000)
Mg (0.3798, 0.1202, 0.0000)
Mg (0.6202, 0.8798, 0.0000)
Mg (0.8798, 0.3798, 0.0000)
In (0.0000, 0.5000, 0.5000)
In (0.0632, 0.7959, 0.5000)
In (0.2041, 0.0632, 0.5000)
In (0.2959, 0.5632, 0.5000)
In (0.4368, 0.2959, 0.5000)
In (0.5000, 0.0000, 0.5000)
In (0.5632, 0.7041, 0.5000)
In (0.7041, 0.4368, 0.5000)
In (0.7959, 0.9368, 0.5000)
In (0.9368, 0.2041, 0.5000)

Properties
* total DFT energy (no corrections): -2.7632 eV/atom
* spin magnetization: 0.00 μB per formula unit
* formation enthalpy at 0 K: -6.722 kcal/mol of atoms



# SrTmMg2In2

SrTmMg2In2 after structural relaxation (PBE, Alexandria via LeMat-Bulk).

abc: 5.0078 5.0078 7.7857
angles: 90.00 90.00 120.00
Positions (direct):
Sr (0.0000, 0.0000, 0.0000)
Tm (0.0000, 0.0000, 0.5000)
Mg (0.3333, 0.6667, 0.7031)
Mg (0.6667, 0.3333, 0.2969)
In (0.3333, 0.6667, 0.2883)
In (0.6667, 0.3333, 0.7117)

Properties
* total DFT energy (no corrections): -2.7963 eV/atom
* spin magnetization: 0.00 μB per formula unit
* formation enthalpy at 0 K: -7.528 kcal/mol of atoms



# SrMgZnIn2

SrMgZnIn2 after structural relaxation (PBE, Alexandria via LeMat-Bulk).

abc: 4.5721 4.5721 12.6921
angles: 90.00 90.00 90.00
Positions (direct):
Sr (0.0000, 0.0000, 0.0000)
Sr (0.5000, 0.5000, 0.5000)
Mg (0.0000, 0.5000, 0.7500)
Mg (0.5000, 0.0000, 0.2500)
Zn (0.0000, 0.5000, 0.2500)
Zn (0.5000, 0.0000, 0.7500)
In (0.0000, 0.0000, 0.3858)
In (0.0000, 0.0000, 0.6142)
In (0.5000, 0.5000, 0.1142)
In (0.5000, 0.5000, 0.8858)

Properties
* total DFT energy (no corrections): -2.2606 eV/atom
* spin magnetization: 0.00 μB per formula unit
* formation enthalpy at 0 K: -5.883 kcal/mol of atoms



# Sr3Mg2Zn2In4

Sr3Mg2Zn2In4 after structural relaxation (PBE, Alexandria via LeMat-Bulk).

abc: 5.0141 5.0141 14.6260
angles: 90.00 90.00 120.00
Positions (direct):
Sr (0.0000, 0.0000, 0.0000)
Sr (0.0000, 0.0000, 0.2653)
Sr (0.0000, 0.0000, 0.7347)
Mg (0.3333, 0.6667, 0.5676)
Mg (0.6667, 0.3333, 0.4324)
Zn (0.3333, 0.6667, 0.1501)
Zn (0.6667, 0.3333, 0.8499)
In (0.3333, 0.6667, 0.3686)
In (0.3333, 0.6667, 0.8647)
In (0.6667, 0.3333, 0.1353)
In (0.6667, 0.3333, 0.6314)

Properties
* total DFT energy (no corrections): -2.1878 eV/atom
* spin magnetization: 0.00 μB per formula unit
* formation enthalpy at 0 K: -4.884 kcal/mol of atoms



# Sr2MgZnIn6

Sr2MgZnIn6 after structural relaxation (PBE, Alexandria via LeMat-Bulk).

abc: 6.0941 7.4018 7.6153
angles: 72.34 66.52 66.24
Positions (direct):
Sr (0.0061, 0.2439, 0.2433)
Sr (0.9939, 0.7561, 0.7567)
Mg (0.5000, 0.0000, 0.5000)
Zn (0.5000, 0.5000, 0.0000)
In (0.0022, 0.6945, 0.3031)
In (0.3353, 0.9153, 0.9234)
In (0.4988, 0.3156, 0.6956)
In (0.5012, 0.6844, 0.3044)
In (0.6647, 0.0847, 0.0766)
In (0.9978, 0.3055, 0.6969)

Properties
* total DFT energy (no corrections): -2.4563 eV/atom
* spin magnetization: 0.00 μB per formula unit
* formation enthalpy at 0 K: -4.383 kcal/mol of atoms



# Mg2TaIn

Mg2TaIn after structural relaxation (PBE, Alexandria via LeMat-Bulk).

abc: 11.2435 2.9599 5.5560
angles: 90.00 117.79 90.00
Positions (direct):
Mg (0.0000, 0.0000, 0.0000)
Mg (0.2438, 0.0000, 0.9270)
Mg (0.5000, 0.5000, 0.0000)
Mg (0.7438, 0.5000, 0.9270)
Ta (0.2457, 0.5000, 0.4383)
Ta (0.7457, 0.0000, 0.4383)
In (0.4924, 0.0000, 0.4834)
In (0.9924, 0.5000, 0.4834)

Properties
* total DFT energy (no corrections): -4.2676 eV/atom
* spin magnetization: 0.00 μB per formula unit
* formation enthalpy at 0 K: 4.093 kcal/mol of atoms



# MgTaIn2

MgTaIn2 after structural relaxation (PBE, Alexandria via LeMat-Bulk).

abc: 3.1357 4.2962 6.1246
angles: 90.00 90.00 90.00
Positions (direct):
Mg (0.0000, 0.0000, 0.0000)
Ta (0.0000, 0.0000, 0.5000)
In (0.5000, 0.5000, 0.2560)
In (0.5000, 0.5000, 0.7440)

Properties
* total DFT energy (no corrections): -4.5597 eV/atom
* spin magnetization: 0.00 μB per formula unit
* formation enthalpy at 0 K: 3.951 kcal/mol of atoms



# Mg2TaIn

Mg2TaIn after structural relaxation (PBE, Alexandria via LeMat-Bulk).

abc: 3.0969 3.0969 30.2119
angles: 90.00 90.00 120.00
Positions (direct):
Mg (0.0000, 0.0000, 0.2487)
Mg (0.0000, 0.0000, 0.7513)
Mg (0.3333, 0.6667, 0.4179)
Mg (0.3333, 0.6667, 0.9154)
Mg (0.6667, 0.3333, 0.0846)
Mg (0.6667, 0.3333, 0.5821)
Ta (0.0000, 0.0000, 0.5000)
Ta (0.3333, 0.6667, 0.1667)
Ta (0.6667, 0.3333, 0.8333)
In (0.0000, 0.0000, 0.0000)
In (0.3333, 0.6667, 0.6667)
In (0.6667, 0.3333, 0.3333)

Properties
* total DFT energy (no corrections): -4.2506 eV/atom
* spin magnetization: 0.15 μB per formula unit
* formation enthalpy at 0 K: 4.485 kcal/mol of atoms



# Mg2TaIn

Mg2TaIn after structural relaxation (PBE, Alexandria via LeMat-Bulk).

abc: 4.1919 4.1919 9.1298
angles: 90.00 90.00 90.00
Positions (direct):
Mg (0.0000, 0.0000, 0.0000)
Mg (0.0000, 0.5000, 0.2500)
Mg (0.5000, 0.0000, 0.7500)
Mg (0.5000, 0.5000, 0.5000)
Ta (0.0000, 0.5000, 0.7500)
Ta (0.5000, 0.0000, 0.2500)
In (0.0000, 0.0000, 0.5000)
In (0.5000, 0.5000, 0.0000)

Properties
* total DFT energy (no corrections): -4.1493 eV/atom
* spin magnetization: 0.00 μB per formula unit
* formation enthalpy at 0 K: 6.821 kcal/mol of atoms